Material: KDyV2O6
Method: DFT, PBE with a Hubbard U
State: relaxed

Lattice parameters (Å, degrees): 5.4952 5.4952 6.4440 64.76 64.76 60.00
Sites, in units of the cell vectors:
1 K 0.0000 0.0000 0.0000
2 Dy 0.5000 0.5000 0.5000
3 V 0.6778 0.6778 0.9666
4 V 0.3222 0.3222 0.0334
5 O 0.0783 0.5066 0.7933
6 O 0.6218 0.0783 0.7933
7 O 0.4934 0.3782 0.2067
8 O 0.9217 0.4934 0.2067
9 O 0.3782 0.9217 0.2067
10 O 0.5066 0.6218 0.7933

Spin magnetization = 2.0 μB per formula unit
SG = No. 148
Crystal system = trigonal
Total DFT energy (no corrections) = -7.29 eV per atom